1.
An optimized crystal structure of Hf4Sc2Cd3C3, computed with PBE.

Cell: 9.901 5.716 15.593 Å, 90.00 102.29 90.00°
Space group C2/c (No. 15)
Asymmetric unit:
Hf (0.110, 0.090, 0.080)
Hf (0.226, 0.081, 0.420)
Sc (0.052, 0.419, 0.914)
Cd (0.000, 0.056, 0.750)
Cd (0.179, 0.406, 0.251)
C (0.086, 0.242, 0.500)
C (0.250, 0.250, 0.000)

Computed properties:
Final energy, eV/atom: -7.429
V, A^3/atom: 17.96
Total magnetization, μB per atom: 0.001


2.
An optimized crystal structure of Hf3ScCd2C2, computed with PBE.

Cell: 3.2956 3.2956 15.2210 Å, 90.00 90.00 120.00°
Space group P3m1 (No. 156)
Asymmetric unit:
Hf (0.0000, 0.0000, 0.0000)
Hf (0.0000, 0.0000, 0.3376)
Hf (0.6667, 0.3333, 0.8379)
Sc (0.6667, 0.3333, 0.5009)
Cd (0.0000, 0.0000, 0.6709)
Cd (0.6667, 0.3333, 0.1685)
C (0.3333, 0.6667, 0.4147)
C (0.3333, 0.6667, 0.9189)

Computed properties:
Final energy, eV/atom: -7.590
V, A^3/atom: 17.90
Total magnetization, μB per atom: 0.019


3.
An optimized crystal structure of HfScCdC, computed with PBE.

Cell: 3.3044 3.3044 15.2948 Å, 90.00 90.00 120.00°
Space group P-6m2 (No. 187)
Asymmetric unit:
Hf (0.0000, 0.0000, 0.1683)
Sc (0.6667, 0.3333, 0.3305)
Cd (0.0000, 0.0000, 0.5000)
Cd (0.6667, 0.3333, 0.0000)
C (0.3333, 0.6667, 0.2450)

Computed properties:
Final energy, eV/atom: -7.108
V, A^3/atom: 18.08
Energy above the most stable polymorph in this dataset, eV/atom: 0.000
Total magnetization, μB per atom: 0.035


4.
An optimized crystal structure of HfScCdC, computed with PBE.

Cell: 3.2998 3.2998 15.3726 Å, 90.00 90.00 120.00°
Space group P-3m1 (No. 164)
Asymmetric unit:
Hf (0.3333, 0.6667, 0.0803)
Sc (0.3333, 0.6667, 0.4198)
Cd (0.3333, 0.6667, 0.7533)
C (0.0000, 0.0000, 0.0000)
C (0.0000, 0.0000, 0.5000)

Computed properties:
Final energy, eV/atom: -7.102
V, A^3/atom: 18.12
Energy above the most stable polymorph in this dataset, eV/atom: 0.007
Total magnetization, μB per atom: 0.069


5.
An optimized crystal structure of Hf4CdSiC2, computed with PBE.

Cell: 3.2852 3.2852 14.2383 Å, 90.00 90.00 120.00°
Space group P-6m2 (No. 187)
Asymmetric unit:
Hf (0.0000, 0.0000, 0.1473)
Hf (0.3333, 0.6667, 0.3230)
Cd (0.0000, 0.0000, 0.5000)
Si (0.3333, 0.6667, 0.0000)
C (0.6667, 0.3333, 0.2369)

Computed properties:
Final energy, eV/atom: -8.755
V, A^3/atom: 16.64
Total magnetization, μB per atom: 0.001


6.
An optimized crystal structure of Hf4CdSnC2, computed with PBE.

Cell: 3.3192 3.3192 14.7678 Å, 90.00 90.00 120.00°
Space group P-6m2 (No. 187)
Asymmetric unit:
Hf (0.0000, 0.0000, 0.1640)
Hf (0.6667, 0.3333, 0.3299)
Cd (0.0000, 0.0000, 0.5000)
Sn (0.6667, 0.3333, 0.0000)
C (0.3333, 0.6667, 0.2473)

Computed properties:
Final energy, eV/atom: -8.575
V, A^3/atom: 17.61
Total magnetization, μB per atom: 0.000


7.
An optimized crystal structure of Hf4Ta2Cd3C3, computed with PBE.

Cell: 9.780 5.647 15.133 Å, 90.00 102.58 90.00°
Space group C2/c (No. 15)
Asymmetric unit:
Hf (0.112, 0.079, 0.085)
Hf (0.219, 0.085, 0.415)
Ta (0.060, 0.415, 0.925)
Cd (0.000, 0.108, 0.750)
Cd (0.154, 0.428, 0.249)
C (0.082, 0.253, 0.500)
C (0.250, 0.250, 0.000)

Computed properties:
Final energy, eV/atom: -8.336
V, A^3/atom: 16.99
Total magnetization, μB per atom: 0.000


8.
An optimized crystal structure of Hf4TlCdC2, computed with PBE.

Cell: 3.3139 3.3139 15.0100 Å, 90.00 90.00 120.00°
Space group P-6m2 (No. 187)
Asymmetric unit:
Hf (0.0000, 0.0000, 0.1680)
Hf (0.3333, 0.6667, 0.3312)
Tl (0.3333, 0.6667, 0.0000)
Cd (0.0000, 0.0000, 0.5000)
C (0.6667, 0.3333, 0.2488)

Computed properties:
Final energy, eV/atom: -8.287
V, A^3/atom: 17.84
Total magnetization, μB per atom: 0.000


9.
An optimized crystal structure of TmHf3Cd2C2, computed with PBE.

Cell: 3.3272 3.3272 15.4356 Å, 90.00 90.00 120.00°
Space group P3m1 (No. 156)
Asymmetric unit:
Tm (0.0000, 0.0000, 0.0000)
Hf (0.0000, 0.0000, 0.6607)
Hf (0.6667, 0.3333, 0.1696)
Hf (0.6667, 0.3333, 0.5023)
Cd (0.0000, 0.0000, 0.3368)
Cd (0.6667, 0.3333, 0.8228)
C (0.3333, 0.6667, 0.0950)
C (0.3333, 0.6667, 0.5818)

Computed properties:
Final energy, eV/atom: -7.321
V, A^3/atom: 18.50
Total magnetization, μB per atom: 0.016


10.
An optimized crystal structure of TmHfCdC, computed with PBE.

Cell: 3.3778 3.3778 15.6677 Å, 90.00 90.00 120.00°
Space group P-6m2 (No. 187)
Asymmetric unit:
Tm (0.0000, 0.0000, 0.1713)
Hf (0.6667, 0.3333, 0.3367)
Cd (0.0000, 0.0000, 0.5000)
Cd (0.6667, 0.3333, 0.0000)
C (0.3333, 0.6667, 0.2647)

Computed properties:
Final energy, eV/atom: -6.582
V, A^3/atom: 19.35
Energy above the most stable polymorph in this dataset, eV/atom: 0.000
Total magnetization, μB per atom: 0.004


11.
An optimized crystal structure of TmHfCdC, computed with PBE.

Cell: 3.3807 3.3807 15.6704 Å, 90.00 90.00 120.00°
Space group P6_3mc (No. 186)
Asymmetric unit:
Tm (0.3333, 0.6667, 0.0000)
Hf (0.3333, 0.6667, 0.6655)
Cd (0.3333, 0.6667, 0.3269)
C (0.0000, 0.0000, 0.0943)

Computed properties:
Final energy, eV/atom: -6.578
V, A^3/atom: 19.39
Energy above the most stable polymorph in this dataset, eV/atom: 0.004
Total magnetization, μB per atom: 0.041


12.
An optimized crystal structure of TmHfCdC, computed with PBE.

Cell: 3.3804 3.3804 15.7579 Å, 90.00 90.00 120.00°
Space group P-3m1 (No. 164)
Asymmetric unit:
Tm (0.3333, 0.6667, 0.0859)
Hf (0.3333, 0.6667, 0.4234)
Cd (0.3333, 0.6667, 0.7356)
C (0.0000, 0.0000, 0.0000)
C (0.0000, 0.0000, 0.5000)

Computed properties:
Final energy, eV/atom: -6.556
V, A^3/atom: 19.49
Energy above the most stable polymorph in this dataset, eV/atom: 0.026
Total magnetization, μB per atom: 0.044